KAcSO6: optimized geometry, PBE-GGA.

Output
Symmetry: P312
Uncorrected formation energy: -1.395 eV per atom
Spin magnetization: 2.0 μB per formula unit
N(E_F): 4.20 states/eV/f.u.

a = 5.6972 Å, b = 5.6972 Å, c = 4.7895 Å
α = 90.00°, β = 90.00°, γ = 120.00°
Fractional positions:
K 0.0000 0.0000 0.0000
Ac 0.6667 0.3333 0.5000
S 0.3333 0.6667 0.0000
O 0.0808 0.4455 0.2014
O 0.0808 0.6354 0.7986
O 0.3646 0.4455 0.7986
O 0.3646 0.9192 0.2014
O 0.5545 0.6354 0.2014
O 0.5545 0.9192 0.7986